Run w
Y4In2H | PBE | optimized geometry

space-group type: No. 11

```
14
Lattice="6.0476 0.0000 -0.5495 0.0000 6.7721 0.0000 -2.8622 0.0000 8.9956" Properties=species:S:1:pos:R:3 pbc="T T T"
Y 0.7038 6.7646 6.3332
Y 0.7038 3.3935 6.3332
Y 2.4816 3.3786 2.1128
Y -1.9999 5.0791 8.3218
Y 2.4816 0.0075 2.1128
Y 3.6405 1.6930 5.1427
Y -0.4551 5.0791 3.3034
Y 5.1853 1.6930 0.1243
In 4.0764 5.0791 -0.0043
In 3.1245 5.0791 4.7764
In -0.8910 1.6930 8.4504
In 0.0609 1.6930 3.6696
H 1.1022 5.0791 1.6464
H 2.0832 1.6930 6.7996
```



Run x
Y4In2H | PBE | optimized geometry

space-group type: No. 139

```
7
Lattice="4.6020 0.0000 0.0000 0.0000 4.6020 0.0000 2.3010 2.3010 8.4273" Properties=species:S:1:pos:R:3 pbc="T T T"
Y 2.3010 0.0000 0.0000
Y 0.0000 2.3010 0.0000
Y 4.6020 4.6020 2.9824
Y 2.3010 2.3010 5.4449
In 2.3010 2.3010 2.2791
In 4.6020 4.6020 6.1483
H 0.0000 0.0000 0.0000
```



Ranking the structures above by stability puts run w first and run x last.